[1]
# Co2SbRh

A relaxed Co2SbRh crystal (GGA-PBE, the Alexandria database).

Summary:
DFT total energy in eV per atom: -5.997
Formation energy from raw total energies in eV per atom: 0.424
Total magnetization in μB per cell: 3.483

```
4
Lattice="-7.322 3.554 -0.832 -7.754 2.028 1.643 -6.481 4.675 1.752" Properties=species:S:1:pos:R:3 pbc="T T T"
Sb -16.168 7.693 1.923
Co -21.535 10.247 2.561
Co -10.801 5.139 1.284
Rh -5.389 2.564 0.641
```

[2]
# Na2Ga2Au5

A relaxed Na2Ga2Au5 crystal (GGA-PBE, the Alexandria database).

Summary:
DFT total energy in eV per atom: -3.052
Total magnetization in μB per cell: 0.000
ΔE_f in eV per formula unit: -2.4

```
9
Lattice="4.650 0.000 0.000 0.000 4.650 0.000 0.000 0.000 8.480" Properties=species:S:1:pos:R:3 pbc="T T T"
Na 0.000 0.000 0.000
Au 2.325 0.000 2.389
Ga 2.325 2.325 7.215
Au 0.000 2.325 6.091
Au 2.325 0.000 6.091
Na 0.000 0.000 4.240
Au 2.325 2.325 4.240
Ga 2.325 2.325 1.264
Au 0.000 2.325 2.389
```